Compound: InFe2Pd2
Source: the Open Quantum Materials Database
Functional: PBE-GGA
Structure: relaxed

Output
The value obtained for the total DFT energy (no corrections) is -5.91 eV/atom. Its calculated density is 9.2 g/cm3. The crystal system is tetragonal.

Cell: 7.460 7.460 2.843 Å, 90.00 90.00 90.00°
Space group P4/mbm (No. 127)
Symmetry-distinct sites (fractional):
In 0.000 0.000 0.000 [2 per cell]
Fe 0.162 0.338 0.500 [4 per cell]
Pd 0.133 0.633 0.000 [4 per cell]